No. 1
VASP calculation (PBE) on crystalline Rb3InCl at its relaxed geometry.

DFT total energy	-10.69	eV/cell
theoretical density	2.585	Mg/m³
space-group type	Pm-3m
magnetic moment	0.00	μB/f.u.
formation energy (no corrections)	-0.640	eV per atom

```
Rb3InCl
1.0
6.392 0.000 0.000
0.000 6.392 0.000
0.000 0.000 6.392
Rb In Cl
3 1 1
Direct
0.000 0.000 0.500
0.000 0.500 0.000
0.500 0.000 0.000
0.500 0.500 0.500
0.000 0.000 0.000
```


No. 2
VASP calculation (PBE) on crystalline Rb2InCl4 at its relaxed geometry.

DFT total energy	-22.37	eV/cell
theoretical density	2.528	Mg/m³
space-group type	Fmm2
magnetic moment	0.00	μB/f.u.
formation energy (no corrections)	-1.473	eV per atom

```
Rb2InCl4
1.0
0.000 6.599 4.613
4.612 0.000 4.613
4.612 6.599 0.000
Rb In Cl
2 1 4
Direct
0.000 0.000 0.500
0.500 0.500 0.000
0.210 0.210 0.790
0.046 0.457 0.543
0.253 0.819 0.747
0.457 0.046 0.954
0.819 0.253 0.181
```


No. 3
VASP calculation (PBE) on crystalline Rb2InCl3 at its relaxed geometry.

DFT total energy	-39.21	eV/cell
theoretical density	2.976	Mg/m³
space-group type	Pmmn
magnetic moment	0.00	μB/f.u.
formation energy (no corrections)	-1.565	eV per atom

```
Rb2InCl3
1.0
4.688 0.000 0.000
0.000 13.989 0.000
0.000 0.000 6.671
Rb In Cl
4 2 6
Direct
0.250 0.084 0.248
0.250 0.416 0.248
0.750 0.584 0.752
0.750 0.916 0.752
0.250 0.750 0.249
0.750 0.250 0.751
0.250 0.087 0.749
0.250 0.413 0.749
0.250 0.750 0.813
0.750 0.250 0.187
0.750 0.587 0.251
0.750 0.913 0.251
```


No. 4
VASP calculation (PBE) on crystalline Rb2InCl at its relaxed geometry.

DFT total energy	-8.56	eV/cell
theoretical density	3.076	Mg/m³
space-group type	Fm-3m
magnetic moment	0.00	μB/f.u.
formation energy (no corrections)	-0.510	eV per atom

```
Rb2InCl
1.0
0.000 4.426 4.426
4.426 0.000 4.426
4.426 4.426 0.000
Rb In Cl
2 1 1
Direct
0.250 0.250 0.250
0.750 0.750 0.750
0.000 0.000 0.000
0.500 0.500 0.500
```


No. 5
VASP calculation (PBE) on crystalline Rb2In3Cl8 at its relaxed geometry.

DFT total energy	-41.74	eV/cell
theoretical density	3.144	Mg/m³
space-group type	C2/m
magnetic moment	0.00	μB/f.u.
formation energy (no corrections)	-1.294	eV per atom

```
Rb2In3Cl8
1.0
6.793 -3.654 0.000
6.793 3.654 0.000
-0.798 0.000 8.501
Rb In Cl
2 3 8
Direct
0.196 0.196 0.116
0.804 0.804 0.884
0.284 0.716 0.500
0.500 0.500 0.000
0.716 0.284 0.500
0.122 0.122 0.466
0.178 0.668 0.169
0.332 0.822 0.831
0.346 0.346 0.812
0.654 0.654 0.188
0.668 0.178 0.169
0.822 0.332 0.831
0.878 0.878 0.534
```


No. 6
VASP calculation (PBE) on crystalline RbInCl2 at its relaxed geometry.

DFT total energy	-12.67	eV/cell
theoretical density	3.735	Mg/m³
space-group type	P4/mmm
magnetic moment	0.00	μB/f.u.
formation energy (no corrections)	-1.317	eV per atom

```
RbInCl2
1.0
5.563 0.000 0.000
0.000 5.563 0.000
0.000 0.000 3.896
Rb In Cl
1 1 2
Direct
0.000 0.000 0.000
0.500 0.500 0.000
0.000 0.500 0.500
0.500 0.000 0.500
```


No. 7
VASP calculation (PBE) on crystalline RbIn3Cl4 at its relaxed geometry.

DFT total energy	-25.21	eV/cell
theoretical density	3.440	Mg/m³
space-group type	C2/m
magnetic moment	0.00	μB/f.u.
formation energy (no corrections)	-1.080	eV per atom

```
RbIn3Cl4
1.0
6.505 -4.609 0.000
6.505 4.609 0.000
-0.005 0.000 4.603
Rb In Cl
1 3 4
Direct
0.000 0.000 0.000
0.000 0.500 0.500
0.500 0.000 0.500
0.500 0.500 0.000
0.252 0.252 0.000
0.254 0.746 0.500
0.746 0.254 0.500
0.748 0.748 0.000
```


No. 8
VASP calculation (PBE) on crystalline Rb3InCl4 at its relaxed geometry.

DFT total energy	-26.31	eV/cell
theoretical density	2.923	Mg/m³
space-group type	I4/mmm
magnetic moment	0.00	μB/f.u.
formation energy (no corrections)	-1.660	eV per atom

```
Rb3InCl4
1.0
-3.317 3.317 6.623
3.317 -3.317 6.623
3.317 3.317 -6.623
Rb In Cl
3 1 4
Direct
0.000 0.000 0.000
0.250 0.750 0.500
0.750 0.250 0.500
0.500 0.500 0.000
0.000 0.500 0.500
0.256 0.256 0.000
0.500 0.000 0.500
0.744 0.744 0.000
```


No. 9
VASP calculation (PBE) on crystalline Rb2InCl4 at its relaxed geometry.

DFT total energy	-22.73	eV/cell
theoretical density	2.901	Mg/m³
space-group type	I4/mmm
magnetic moment	0.00	μB/f.u.
formation energy (no corrections)	-1.524	eV per atom

```
Rb2InCl4
1.0
-2.695 2.695 8.422
2.695 -2.695 8.422
2.695 2.695 -8.422
Rb In Cl
2 1 4
Direct
0.142 0.142 0.000
0.858 0.858 0.000
0.500 0.500 0.000
0.000 0.500 0.500
0.335 0.335 0.000
0.500 0.000 0.500
0.665 0.665 0.000
```


No. 10
VASP calculation (PBE) on crystalline RbInCl2 at its relaxed geometry.

DFT total energy	-12.64	eV/cell
theoretical density	3.707	Mg/m³
space-group type	Fm-3m
magnetic moment	0.00	μB/f.u.
formation energy (no corrections)	-1.311	eV per atom

```
RbInCl2
1.0
0.000 3.931 3.931
3.931 0.000 3.931
3.931 3.931 0.000
Rb In Cl
1 1 2
Direct
0.000 0.000 0.000
0.500 0.500 0.500
0.250 0.250 0.250
0.750 0.750 0.750
```


No. 11
VASP calculation (PBE) on crystalline RbInCl2 at its relaxed geometry.

DFT total energy	-11.71	eV/cell
theoretical density	2.318	Mg/m³
space-group type	R-3m
magnetic moment	0.00	μB/f.u.
formation energy (no corrections)	-1.077	eV per atom

```
RbInCl2
1.0
2.466 1.424 9.223
-2.466 1.424 9.223
0.000 -2.847 9.223
Rb In Cl
1 1 2
Direct
0.000 0.000 0.000
0.500 0.500 0.500
0.107 0.107 0.107
0.893 0.893 0.893
```


No. 12
VASP calculation (PBE) on crystalline Rb3InCl4 at its relaxed geometry.

DFT total energy	-52.06	eV/cell
theoretical density	2.374	Mg/m³
space-group type	Pmn2_1
magnetic moment	0.00	μB/f.u.
formation energy (no corrections)	-1.625	eV per atom

```
Rb3InCl4
1.0
11.297 0.000 0.000
0.000 9.571 0.000
0.000 0.000 6.638
Rb In Cl
6 2 8
Direct
0.000 0.158 0.000
0.249 0.329 0.499
0.251 0.671 0.999
0.500 0.842 0.500
0.749 0.671 0.999
0.751 0.329 0.499
0.000 0.825 0.505
0.500 0.175 0.005
0.000 0.152 0.499
0.000 0.824 0.078
0.250 0.329 0.999
0.250 0.671 0.499
0.500 0.176 0.578
0.500 0.848 0.999
0.750 0.329 0.999
0.750 0.671 0.499
```


What is the theoretical density in the twelfth record? 2.374 Mg/m³


What is the magnetic moment in the fourth record? 0.00 μB/f.u.


Which value of magnetic moment does entry 9 give? 0.00 μB/f.u.


The highest formation energy (no corrections) belongs to which entry? Rb2InCl